DFT (meta-GGA SCAN) results for a crystal of YZrCr2 relaxed with PBEsol.

It has space group P4/mmm (No. 123), with a = 4.686 Å, b = 4.686 Å, c = 3.340 Å, α = 90.00°, β = 90.00° and γ = 90.00°. The distinct sites, in fractional coordinates, are Y at (0.000, 0.000, 0.000), Zr at (0.500, 0.500, 0.000) and Cr at (0.000, 0.500, 0.500).

The calculated volume comes out at 18.34 A^3/atom. The energy of formation from the pure elements is 0.221 eV/atom. The total energy comes out at -23.606 eV per atom.

***

DFT (meta-GGA SCAN) results for a crystal of YZrCr3 relaxed with PBEsol.

It has space group Pm-3m (No. 221), with a = 4.656 Å, b = 4.656 Å, c = 4.656 Å, α = 90.00°, β = 90.00° and γ = 90.00°. The distinct sites, in fractional coordinates, are Y at (0.000, 0.000, 0.000), Zr at (0.500, 0.500, 0.500) and Cr at (0.000, 0.000, 0.500).

The calculated volume comes out at 20.19 A^3/atom. The energy of formation from the pure elements is 1.577 eV/atom. The total energy comes out at -21.162 eV per atom.

***

DFT (meta-GGA SCAN) results for a crystal of YZr2Cr relaxed with PBEsol.

It has space group Imm2 (No. 44), with a = 3.410 Å, b = 4.874 Å, c = 10.023 Å, α = 90.00°, β = 90.00° and γ = 90.00°. The distinct sites, in fractional coordinates, are Y at (0.000, 0.000, 0.000), Zr at (0.000, 0.000, 0.580), Zr at (0.000, 0.500, 0.784) and Cr at (0.000, 0.500, 0.266).

The calculated volume comes out at 20.83 A^3/atom. The energy of formation from the pure elements is 0.236 eV/atom. The total energy comes out at -26.671 eV per atom.

***

DFT (meta-GGA SCAN) results for a crystal of YZrCr2 relaxed with PBEsol.

It has space group R3m (No. 160, hexagonal axes), with a = 3.0589 Å, b = 3.0589 Å, c = 26.6695 Å, α = 90.00°, β = 90.00° and γ = 120.00°. The distinct sites, in fractional coordinates, are Y at (0.0000, 0.0000, 0.0000), Zr at (0.0000, 0.0000, 0.2241), Cr at (0.0000, 0.0000, 0.4763) and Cr at (0.0000, 0.0000, 0.7559).

The calculated volume comes out at 18.01 A^3/atom. The energy of formation from the pure elements is 0.613 eV/atom. The total energy comes out at -23.215 eV per atom.

***

DFT (meta-GGA SCAN) results for a crystal of YZrCr2 relaxed with PBEsol.

It has space group P4mm (No. 99), with a = 2.981 Å, b = 2.981 Å, c = 8.035 Å, α = 90.00°, β = 90.00° and γ = 90.00°. The distinct sites, in fractional coordinates, are Y at (0.000, 0.000, 0.000), Zr at (0.500, 0.500, 0.370), Cr at (0.000, 0.000, 0.600) and Cr at (0.500, 0.500, 0.740).

The calculated volume comes out at 17.85 A^3/atom. The energy of formation from the pure elements is 0.212 eV/atom. The total energy comes out at -23.616 eV per atom.

***

DFT (meta-GGA SCAN) results for a crystal of YZr2Cr relaxed with PBEsol.

It has space group I4/mmm (No. 139), with a = 5.056 Å, b = 5.056 Å, c = 6.418 Å, α = 90.00°, β = 90.00° and γ = 90.00°. The distinct sites, in fractional coordinates, are Y at (0.000, 0.000, 0.000), Zr at (0.000, 0.500, 0.250) and Cr at (0.000, 0.000, 0.500).

The calculated volume comes out at 20.51 A^3/atom. The energy of formation from the pure elements is 0.326 eV/atom. The total energy comes out at -26.580 eV per atom.

***

DFT (meta-GGA SCAN) results for a crystal of YZr2Cr relaxed with PBEsol.

It has space group Pm (No. 6), with a = 3.218 Å, b = 4.563 Å, c = 6.137 Å, α = 90.00°, β = 104.58° and γ = 90.00°. The distinct sites, in fractional coordinates, are Y at (0.000, 0.000, 0.000), Zr at (0.199, 0.000, 0.529), Zr at (0.629, 0.500, 0.323) and Cr at (0.465, 0.500, 0.760).

The calculated volume comes out at 21.80 A^3/atom. The energy of formation from the pure elements is 0.212 eV/atom. The total energy comes out at -26.694 eV per atom.

***

DFT (meta-GGA SCAN) results for a crystal of YZrCr2 relaxed with PBEsol.

It has space group F-43m (No. 216), with a = 6.633 Å, b = 6.633 Å, c = 6.633 Å, α = 90.00°, β = 90.00° and γ = 90.00°. The distinct sites, in fractional coordinates, are Y at (0.000, 0.000, 0.000), Zr at (0.250, 0.250, 0.750), Cr at (0.000, 0.000, 0.500) and Cr at (0.250, 0.250, 0.250).

The calculated volume comes out at 18.24 A^3/atom. The energy of formation from the pure elements is 0.334 eV/atom. The total energy comes out at -23.493 eV per atom.

***

DFT (meta-GGA SCAN) results for a crystal of Zn3Cr2 relaxed with PBEsol.

It has space group R-3m (No. 166, hexagonal axes), with a = 2.5771 Å, b = 2.5771 Å, c = 32.7134 Å, α = 90.00°, β = 90.00° and γ = 120.00°. The distinct sites, in fractional coordinates, are Zn at (0.0000, 0.0000, 0.0000), Zn at (0.0000, 0.0000, 0.2019) and Cr at (0.0000, 0.0000, 0.3995).

The calculated volume comes out at 12.54 A^3/atom. The energy of formation from the pure elements is 0.256 eV/atom. The total energy comes out at -15.207 eV per atom.

***

DFT (meta-GGA SCAN) results for a crystal of Zn3Cr relaxed with PBEsol.

It has space group P4/mmm (No. 123), with a = 2.898 Å, b = 2.898 Å, c = 6.591 Å, α = 90.00°, β = 90.00° and γ = 90.00°. The distinct sites, in fractional coordinates, are Zn at (0.000, 0.000, 0.000), Zn at (0.500, 0.500, 0.251) and Cr at (0.000, 0.000, 0.500).

The calculated volume comes out at 13.84 A^3/atom. The energy of formation from the pure elements is 0.039 eV/atom. The total energy comes out at -14.693 eV per atom.

***

DFT (meta-GGA SCAN) results for a crystal of Zn5Cr relaxed with PBEsol.

It has space group Amm2 (No. 38), with a = 4.271 Å, b = 2.827 Å, c = 13.812 Å, α = 90.00°, β = 90.00° and γ = 90.00°. The distinct sites, in fractional coordinates, are Zn at (0.000, 0.000, 0.000), Zn at (0.000, 0.000, 0.327), Zn at (0.500, 0.000, 0.113), Zn at (0.500, 0.000, 0.445), Zn at (0.500, 0.000, 0.776) and Cr at (0.000, 0.000, 0.662).

The calculated volume comes out at 13.90 A^3/atom. The energy of formation from the pure elements is 0.025 eV/atom. The total energy comes out at -14.302 eV per atom.

***

DFT (meta-GGA SCAN) results for a crystal of Zn5Cr relaxed with PBEsol.

It has space group Cm (No. 8), with a = 9.859 Å, b = 2.590 Å, c = 6.447 Å, α = 90.00°, β = 105.12° and γ = 90.00°. The distinct sites, in fractional coordinates, are Zn at (0.000, 0.000, 0.000), Zn at (0.060, 0.000, 0.619), Zn at (0.169, 0.500, 0.336), Zn at (0.230, 0.500, 0.937), Zn at (0.390, 0.000, 0.293) and Cr at (0.334, 0.000, 0.662).

The calculated volume comes out at 13.25 A^3/atom. The energy of formation from the pure elements is 0.059 eV/atom. The total energy comes out at -14.267 eV per atom.

***

DFT (meta-GGA SCAN) results for a crystal of ZrZn2Cr relaxed with PBEsol.

It has space group Fm-3m (No. 225), with a = 6.307 Å, b = 6.307 Å, c = 6.307 Å, α = 90.00°, β = 90.00° and γ = 90.00°. The distinct sites, in fractional coordinates, are Zr at (0.000, 0.000, 0.000), Zn at (0.250, 0.250, 0.250) and Cr at (0.000, 0.000, 0.500).

The calculated volume comes out at 15.68 A^3/atom. The energy of formation from the pure elements is -0.200 eV/atom. The total energy comes out at -19.229 eV per atom.

***

DFT (meta-GGA SCAN) results for a crystal of ZrZn2Cr relaxed with PBEsol.

It has space group Pmmm (No. 47), with a = 2.704 Å, b = 3.890 Å, c = 5.625 Å, α = 90.00°, β = 90.00° and γ = 90.00°. The distinct sites, in fractional coordinates, are Zr at (0.000, 0.000, 0.000), Zn at (0.500, 0.500, 0.282) and Cr at (0.000, 0.000, 0.500).

The calculated volume comes out at 14.79 A^3/atom. The energy of formation from the pure elements is -0.053 eV/atom. The total energy comes out at -19.082 eV per atom.

***

DFT (meta-GGA SCAN) results for a crystal of ZrZn2Cr relaxed with PBEsol.

It has space group P4mm (No. 99), with a = 3.031 Å, b = 3.031 Å, c = 6.868 Å, α = 90.00°, β = 90.00° and γ = 90.00°. The distinct sites, in fractional coordinates, are Zr at (0.000, 0.000, 0.000), Zn at (0.000, 0.000, 0.478), Zn at (0.500, 0.500, 0.695) and Cr at (0.500, 0.500, 0.260).

The calculated volume comes out at 15.77 A^3/atom. The energy of formation from the pure elements is -0.077 eV/atom. The total energy comes out at -19.106 eV per atom.

***

DFT (meta-GGA SCAN) results for a crystal of Zr4ZnCr relaxed with PBEsol.

It has space group F-43m (No. 216), with a = 7.892 Å, b = 7.892 Å, c = 7.892 Å, α = 90.00°, β = 90.00° and γ = 90.00°. The distinct sites, in fractional coordinates, are Zr at (0.124, 0.124, 0.376), Zn at (0.000, 0.000, 0.000) and Cr at (0.250, 0.250, 0.750).

The calculated volume comes out at 20.48 A^3/atom. The energy of formation from the pure elements is 0.498 eV/atom. The total energy comes out at -25.285 eV per atom.

***

DFT (meta-GGA SCAN) results for a crystal of ZrZn2Cr relaxed with PBEsol.

It has space group Cm (No. 8), with a = 9.284 Å, b = 3.118 Å, c = 4.602 Å, α = 90.00°, β = 111.42° and γ = 90.00°. The distinct sites, in fractional coordinates, are Zr at (0.000, 0.000, 0.000), Zn at (0.004, 0.500, 0.500), Zn at (0.269, 0.500, 0.333) and Cr at (0.244, 0.000, 0.812).

The calculated volume comes out at 15.50 A^3/atom. The energy of formation from the pure elements is -0.019 eV/atom. The total energy comes out at -19.048 eV per atom.

***

DFT (meta-GGA SCAN) results for a crystal of ZrCr2 relaxed with PBEsol.

It has space group Cmcm (No. 63), with a = 4.536 Å, b = 12.693 Å, c = 3.005 Å, α = 90.00°, β = 90.00° and γ = 90.00°. The distinct sites, in fractional coordinates, are Zr at (0.000, 0.096, 0.250), Cr at (0.000, 0.265, 0.750) and Cr at (0.000, 0.410, 0.250).

The calculated volume comes out at 14.42 A^3/atom. The energy of formation from the pure elements is 0.384 eV/atom. The total energy comes out at -22.105 eV per atom.

***

DFT (meta-GGA SCAN) results for a crystal of ZrCr2 relaxed with PBEsol.

It has space group P6_3/mmc (No. 194), with a = 4.9974 Å, b = 4.9974 Å, c = 16.1427 Å, α = 90.00°, β = 90.00° and γ = 120.00°. The distinct sites, in fractional coordinates, are Zr at (0.0000, 0.0000, 0.0947), Zr at (0.3333, 0.6667, 0.1560), Cr at (0.0000, 0.5000, 0.0000), Cr at (0.1658, 0.3316, 0.7500) and Cr at (0.3333, 0.6667, 0.6230).

The calculated volume comes out at 14.55 A^3/atom. The energy of formation from the pure elements is 0.016 eV/atom. The total energy comes out at -22.473 eV per atom.

***

DFT (meta-GGA SCAN) results for a crystal of ZrCr2 relaxed with PBEsol.

It has space group Fd-3m (No. 227, origin choice 2), with a = 7.041 Å, b = 7.041 Å, c = 7.041 Å, α = 90.00°, β = 90.00° and γ = 90.00°. The distinct sites, in fractional coordinates, are Zr at (0.125, 0.125, 0.125) and Cr at (0.000, 0.000, 0.500).

The calculated volume comes out at 14.54 A^3/atom. The energy of formation from the pure elements is 0.007 eV/atom. The total energy comes out at -22.483 eV per atom.